# 1
This record from Alexandria via LeMat-Bulk describes a relaxed structure of MgZrI2. The functional is PBE.

a b c (Å): 5.2201 5.2201 5.2201
angles (deg): 60.00 60.00 60.00
Each line ends with the local moment (μB).
Atoms (fractional coordinates):
Zr1 0.5000 0.5000 0.5000  0.29
Mg1 0.0000 0.0000 0.0000  0.00
I1 0.7500 0.7500 0.7500  -0.01
I2 0.2500 0.2500 0.2500  -0.01

Results
Calculated total energy in eV/cell: -13.36
Raw formation energy in meV per atom: -29
Calculated volume in Å³/cell: 100.58



# 2
This record from Alexandria via LeMat-Bulk describes a relaxed structure of RbVSCl2. The functional is PBE.

a b c (Å): 5.1088 5.1088 4.5933
angles (deg): 90.00 90.00 90.00
Each line ends with the local moment (μB).
Atoms (fractional coordinates):
V1 0.0000 0.0000 0.0000  1.95
S1 0.0000 0.0000 0.5000  -0.15
Rb1 0.5000 0.5000 0.5000  0.00
Cl1 0.5000 0.0000 0.0000  0.00
Cl2 0.0000 0.5000 0.0000  0.00

Results
Relative energy among the computed polymorphs in kJ/mol of formula units: 0
Calculated total energy in eV/cell: -24.03
Raw formation energy in meV per atom: -1225
Calculated volume in Å³/cell: 119.89



# 3
This record from Alexandria via LeMat-Bulk describes a relaxed structure of SrHo2Mg3. The functional is PBE.

a b c (Å): 3.8634 3.8634 11.9856
angles (deg): 90.00 90.00 90.00
Atoms (fractional coordinates):
Mg1 0.0000 0.0000 0.6959
Ho1 0.5000 0.5000 0.8500
Mg2 0.0000 0.0000 0.0000
Mg3 0.0000 0.0000 0.3041
Ho2 0.5000 0.5000 0.1500
Sr1 0.5000 0.5000 0.5000

Results
Formation enthalpy at 0 K in meV/atom: -52.0
Calculated total energy in eV/cell: -15.93
Calculated volume in Å³/cell: 178.90



- Among the records above, which one has the lowest calculated volume?
  MgZrI2



- What is the calculated total energy in the third record?
  -15.93 eV/cell



- Among the records above, which one has the lowest calculated total energy?
  RbVSCl2



- What is the calculated volume in the third record?
  178.90 Å³/cell